Entry 1:
Ti2Tc: optimized geometry, GGA-PBE.

Unit cell a=5.278 b=5.278 c=5.278 alpha=145.35 beta=145.35 gamma=49.81
Element x y z (fractional)
Ti 0.152 0.152 0.000
Ti 0.848 0.848 0.000
Tc 0.500 0.500 0.000

Results
Excess energy over the best structure of this formula in the dataset = 0 kJ/mol of formula units
Calculated formation energy = -357 meV per atom
Total energy = -27.23 eV/cell
SG = I4/mmm (139)

Entry 2:
TiTc: optimized geometry, GGA-PBE.

Unit cell a=6.844 b=6.844 c=6.844 alpha=90.00 beta=90.00 gamma=90.00
Element x y z (fractional)
Ti 0.000 0.250 0.500
Ti 0.000 0.750 0.500
Ti 0.250 0.500 0.000
Ti 0.500 0.000 0.250
Ti 0.500 0.000 0.750
Ti 0.750 0.500 0.000
Tc 0.000 0.500 0.250
Tc 0.000 0.500 0.750
Tc 0.250 0.000 0.500
Tc 0.500 0.250 0.000
Tc 0.500 0.750 0.000
Tc 0.750 0.000 0.500

Results
Calculated formation energy = 1812 meV per atom
Total energy = -87.83 eV/cell
SG = Pm-3n (223)